# TlAg2Te GGA-PBE relaxed
data_TlAg2Te
_symmetry_space_group_name_H-M 'C 1 2/m 1'
_symmetry_Int_Tables_number 12
_cell_length_a 7.746
_cell_length_b 4.654
_cell_length_c 6.459
_cell_angle_alpha 90.00
_cell_angle_beta 117.12
_cell_angle_gamma 90.00
loop_
_symmetry_equiv_pos_as_xyz
'x,y,z'
'-x,-y,-z'
'-x,y,-z'
'x,-y,z'
'x+1/2,y+1/2,z'
'-x+1/2,-y+1/2,-z'
'-x+1/2,y+1/2,-z'
'x+1/2,-y+1/2,z'
loop_
_atom_site_label
_atom_site_type_symbol
_atom_site_fract_x
_atom_site_fract_y
_atom_site_fract_z
Tl1 Tl 0.000 0.000 0.000
Ag1 Ag 0.242 0.000 0.721
Te1 Te 0.000 0.500 0.500
# Formation energy from raw total energies = 3.2 kJ/mol of atoms
# Calculated total energy = -2.7699 eV/atom
# Mass density = 8776 kg/m³
# DOS at the Fermi energy = 0.1759 states/eV per atom